No. 1
Material: BeCu2Rh2
Method: DFT, PBE-GGA
State: relaxed

Calculated values
Symmetry: P4/mbm
VASP energy: -5.2018 eV/atom
ΔE to the lowest computed polymorph: 5 kJ/mol of formula units
Energy relative to the elements: 122 meV per atom

Cell lengths 5.5773, 5.5773, 4.0297 Å; angles 90.00, 90.00, 90.00 degrees
Sites, in units of the cell vectors:
Be 0.0000 0.0000 0.0000
Be 0.5000 0.5000 0.0000
Cu 0.1445 0.3555 0.0000
Cu 0.3555 0.8555 0.0000
Cu 0.6445 0.1445 0.0000
Cu 0.8555 0.6445 0.0000
Rh 0.1731 0.6731 0.5000
Rh 0.3269 0.1731 0.5000
Rh 0.6731 0.8269 0.5000
Rh 0.8269 0.3269 0.5000

No. 2
Material: Sm3TmSb2C
Method: DFT, PBE-GGA
State: relaxed

Calculated values
Symmetry: Immm
VASP energy: -5.9395 eV/atom

Cell lengths 4.7409, 4.8864, 16.1648 Å; angles 90.00, 90.00, 90.00 degrees
Sites, in units of the cell vectors:
Sm 0.0000 0.0000 0.0000
Sm 0.0000 0.5000 0.1605
Sm 0.0000 0.5000 0.8395
Sm 0.5000 0.0000 0.3395
Sm 0.5000 0.0000 0.6605
Sm 0.5000 0.5000 0.5000
Tm 0.0000 0.0000 0.5000
Tm 0.5000 0.5000 0.0000
Sb 0.0000 0.5000 0.3603
Sb 0.0000 0.5000 0.6397
Sb 0.5000 0.0000 0.1397
Sb 0.5000 0.0000 0.8603
C 0.0000 0.5000 0.0000
C 0.5000 0.0000 0.5000

No. 3
Material: Pu2UIr
Method: DFT, PBE-GGA
State: relaxed

Calculated values
Symmetry: Fm-3m
VASP energy: -12.2877 eV/atom
ΔE to the lowest computed polymorph: 42 kJ/mol of formula units
Energy relative to the elements: -84 meV per atom

Cell lengths 6.8605, 6.8605, 6.8605 Å; angles 90.00, 90.00, 90.00 degrees
Sites, in units of the cell vectors:
Pu 0.2500 0.2500 0.2500
Pu 0.2500 0.2500 0.7500
Pu 0.2500 0.7500 0.2500
Pu 0.2500 0.7500 0.7500
Pu 0.7500 0.2500 0.2500
Pu 0.7500 0.2500 0.7500
Pu 0.7500 0.7500 0.2500
Pu 0.7500 0.7500 0.7500
U 0.0000 0.0000 0.0000
U 0.0000 0.5000 0.5000
U 0.5000 0.0000 0.5000
U 0.5000 0.5000 0.0000
Ir 0.0000 0.0000 0.5000
Ir 0.0000 0.5000 0.0000
Ir 0.5000 0.0000 0.0000
Ir 0.5000 0.5000 0.5000

No. 4
Material: Dy2Mg3NpN6
Method: DFT, PBE-GGA
State: relaxed

Calculated values
Symmetry: C2/m
VASP energy: -7.5854 eV/atom

Cell lengths 5.8563, 5.8563, 5.5623 Å; angles 99.98, 99.98, 120.20 degrees
Sites, in units of the cell vectors:
Dy 0.1675 0.8325 0.0000
Dy 0.8325 0.1675 0.0000
Mg 0.0000 0.0000 0.5000
Mg 0.3403 0.6597 0.5000
Mg 0.6597 0.3403 0.5000
Np 0.5000 0.5000 0.0000
N 0.1097 0.4192 0.7552
N 0.2694 0.2694 0.2329
N 0.4192 0.1097 0.7552
N 0.5808 0.8903 0.2448
N 0.7306 0.7306 0.7671
N 0.8903 0.5808 0.2448

No. 5
Material: BeTlCl2
Method: DFT, PBE-GGA
State: relaxed

Calculated values
Symmetry: P4/mmm
VASP energy: -2.5883 eV/atom
ΔE to the lowest computed polymorph: 241 kJ/mol of formula units

Cell lengths 3.1003, 3.1003, 9.6405 Å; angles 90.00, 90.00, 90.00 degrees
Sites, in units of the cell vectors:
Be 0.0000 0.0000 0.0000
Tl 0.0000 0.0000 0.5000
Cl 0.5000 0.5000 0.1474
Cl 0.5000 0.5000 0.8526

No. 6
Material: ZrMnPd6
Method: DFT, PBE-GGA
State: relaxed

Calculated values
Symmetry: P4/mmm
VASP energy: -6.6374 eV/atom
Energy relative to the elements: -528 meV per atom

Cell lengths 3.9834, 3.9834, 7.9591 Å; angles 90.00, 90.00, 90.00 degrees
Sites, in units of the cell vectors:
Zr 0.0000 0.0000 0.0000
Mn 0.0000 0.0000 0.5000
Pd 0.0000 0.5000 0.2539
Pd 0.0000 0.5000 0.7461
Pd 0.5000 0.0000 0.2539
Pd 0.5000 0.0000 0.7461
Pd 0.5000 0.5000 0.0000
Pd 0.5000 0.5000 0.5000

No. 7
Material: Ce2DyNi9
Method: DFT, PBE-GGA
State: relaxed

Calculated values
Symmetry: R-3m
VASP energy: -6.1047 eV/atom
Energy relative to the elements: -396 meV per atom

Cell lengths 8.7072, 8.7072, 8.7072 Å; angles 32.92, 32.92, 32.92 degrees
Sites, in units of the cell vectors:
Ce 0.1385 0.1385 0.1385
Ce 0.8615 0.8615 0.8615
Dy 0.0000 0.0000 0.0000
Ni 0.0817 0.5818 0.5818
Ni 0.3329 0.3329 0.3329
Ni 0.4182 0.4182 0.9183
Ni 0.4182 0.9183 0.4182
Ni 0.5000 0.5000 0.5000
Ni 0.5818 0.0817 0.5818
Ni 0.5818 0.5818 0.0817
Ni 0.6671 0.6671 0.6671
Ni 0.9183 0.4182 0.4182

No. 8
Material: Zn2NiMo
Method: DFT, PBE-GGA
State: relaxed

Calculated values
Symmetry: R3m
VASP energy: -4.7269 eV/atom
ΔE to the lowest computed polymorph: 46 kJ/mol of formula units
Energy relative to the elements: 63 meV per atom

Cell lengths 2.6987, 2.6987, 26.8934 Å; angles 90.00, 90.00, 120.00 degrees
Sites, in units of the cell vectors:
Zn 0.0000 0.0000 0.0000
Zn 0.0000 0.0000 0.2427
Zn 0.3333 0.6667 0.6667
Zn 0.3333 0.6667 0.9094
Zn 0.6667 0.3333 0.3333
Zn 0.6667 0.3333 0.5761
Ni 0.0000 0.0000 0.4995
Ni 0.3333 0.6667 0.1661
Ni 0.6667 0.3333 0.8328
Mo 0.0000 0.0000 0.7554
Mo 0.3333 0.6667 0.4221
Mo 0.6667 0.3333 0.0887

No. 9
Material: Ce3PmPu2Se6
Method: DFT, PBE-GGA
State: relaxed

Calculated values
Symmetry: C2/m
VASP energy: -7.7414 eV/atom

Cell lengths 7.2364, 7.2364, 7.2684 Å; angles 99.54, 99.54, 120.04 degrees
Sites, in units of the cell vectors:
Ce 0.0000 0.0000 0.0000
Ce 0.3346 0.6654 0.0000
Ce 0.6654 0.3346 0.0000
Pm 0.5000 0.5000 0.5000
Pu 0.1667 0.8333 0.5000
Pu 0.8333 0.1667 0.5000
Se 0.0812 0.4181 0.2544
Se 0.2447 0.2447 0.7451
Se 0.4181 0.0812 0.2544
Se 0.5819 0.9188 0.7456
Se 0.7553 0.7553 0.2549
Se 0.9188 0.5819 0.7456

No. 10
Material: Nd6Hg2Ir
Method: DFT, PBE-GGA
State: relaxed

Calculated values
Symmetry: Immm
VASP energy: -4.5378 eV/atom
ΔE to the lowest computed polymorph: 21 kJ/mol of formula units
Energy relative to the elements: -308 meV per atom

Cell lengths 8.8698, 8.8698, 8.8698 Å; angles 112.28, 109.54, 106.65 degrees
Sites, in units of the cell vectors:
Nd 0.0799 0.2450 0.8349
Nd 0.1806 0.2702 0.4508
Nd 0.1806 0.7298 0.9104
Nd 0.2708 0.6042 0.3334
Nd 0.2708 0.9374 0.6666
Nd 0.4100 0.2450 0.1651
Nd 0.5900 0.7550 0.8349
Nd 0.7292 0.0626 0.3334
Nd 0.7292 0.3958 0.6666
Nd 0.8194 0.2702 0.0896
Nd 0.8194 0.7298 0.5492
Nd 0.9201 0.7550 0.1651
Hg 0.3547 0.0000 0.3547
Hg 0.5000 0.3567 0.8567
Hg 0.5000 0.6433 0.1433
Hg 0.6453 0.0000 0.6453
Ir 0.0000 0.0000 0.0000
Ir 0.0000 0.5000 0.5000

No. 11
Material: Zr2ScFe
Method: DFT, PBE-GGA
State: relaxed

Calculated values
Symmetry: P2/m
VASP energy: -7.8742 eV/atom
ΔE to the lowest computed polymorph: 76 kJ/mol of formula units
Energy relative to the elements: 98 meV per atom

Cell lengths 3.2590, 4.1434, 6.0573 Å; angles 90.00, 105.60, 90.00 degrees
Sites, in units of the cell vectors:
Zr 0.1843 0.0000 0.2833
Zr 0.8157 0.0000 0.7167
Sc 0.5000 0.5000 0.0000
Fe 0.0000 0.5000 0.5000

No. 12
Material: TbCuPdAu
Method: DFT, PBE-GGA
State: relaxed

Calculated values
Symmetry: F-43m
VASP energy: -4.8183 eV/atom
Energy relative to the elements: -519 meV per atom

Cell lengths 6.6529, 6.6529, 6.6529 Å; angles 90.00, 90.00, 90.00 degrees
Sites, in units of the cell vectors:
Tb 0.0000 0.0000 0.0000
Tb 0.0000 0.5000 0.5000
Tb 0.5000 0.0000 0.5000
Tb 0.5000 0.5000 0.0000
Cu 0.2500 0.2500 0.7500
Cu 0.2500 0.7500 0.2500
Cu 0.7500 0.2500 0.2500
Cu 0.7500 0.7500 0.7500
Pd 0.2500 0.2500 0.2500
Pd 0.2500 0.7500 0.7500
Pd 0.7500 0.2500 0.7500
Pd 0.7500 0.7500 0.2500
Au 0.0000 0.0000 0.5000
Au 0.0000 0.5000 0.0000
Au 0.5000 0.0000 0.0000
Au 0.5000 0.5000 0.5000

No. 13
Material: ThPa2Sn
Method: DFT, PBE-GGA
State: relaxed

Calculated values
Symmetry: P4/mmm
VASP energy: -7.7631 eV/atom
ΔE to the lowest computed polymorph: 0 kJ/mol of formula units
Energy relative to the elements: -159 meV per atom

Cell lengths 4.6236, 4.6236, 4.9569 Å; angles 90.00, 90.00, 90.00 degrees
Sites, in units of the cell vectors:
Th 0.0000 0.0000 0.0000
Pa 0.0000 0.5000 0.5000
Pa 0.5000 0.0000 0.5000
Sn 0.5000 0.5000 0.0000

No. 14
Material: Si2SnGe2
Method: DFT, PBE-GGA
State: relaxed

Calculated values
Symmetry: I4/mmm
VASP energy: -4.5304 eV/atom
ΔE to the lowest computed polymorph: 0 kJ/mol of formula units

Cell lengths 4.8052, 4.8052, 8.6953 Å; angles 90.00, 90.00, 90.00 degrees
Sites, in units of the cell vectors:
Si 0.0000 0.0000 0.1356
Si 0.0000 0.0000 0.8644
Si 0.5000 0.5000 0.3644
Si 0.5000 0.5000 0.6356
Sn 0.0000 0.0000 0.5000
Sn 0.5000 0.5000 0.0000
Ge 0.0000 0.5000 0.2500
Ge 0.0000 0.5000 0.7500
Ge 0.5000 0.0000 0.2500
Ge 0.5000 0.0000 0.7500

No. 15
Material: Np2B2S5
Method: DFT, PBE-GGA
State: relaxed

Calculated values
Symmetry: C2/m
VASP energy: -7.2076 eV/atom

Cell lengths 6.0925, 6.0925, 9.4808 Å; angles 104.47, 104.47, 32.19 degrees
Sites, in units of the cell vectors:
Np 0.1753 0.1753 0.4798
Np 0.8247 0.8247 0.5202
B 0.3024 0.3024 0.9298
B 0.6976 0.6976 0.0702
S 0.1420 0.1420 0.9525
S 0.3361 0.3361 0.7491
S 0.5000 0.5000 0.5000
S 0.6639 0.6639 0.2509
S 0.8580 0.8580 0.0475

No. 16
Material: Mo4Br3
Method: DFT, PBE-GGA
State: relaxed

Calculated values
Symmetry: I4/mmm
VASP energy: -6.4922 eV/atom
ΔE to the lowest computed polymorph: 0 kJ/mol of formula units

Cell lengths 3.1594, 3.1594, 28.7667 Å; angles 90.00, 90.00, 90.00 degrees
Sites, in units of the cell vectors:
Mo 0.0000 0.0000 0.0721
Mo 0.0000 0.0000 0.3788
Mo 0.0000 0.0000 0.6212
Mo 0.0000 0.0000 0.9279
Mo 0.5000 0.5000 0.1212
Mo 0.5000 0.5000 0.4279
Mo 0.5000 0.5000 0.5721
Mo 0.5000 0.5000 0.8788
Br 0.0000 0.0000 0.1864
Br 0.0000 0.0000 0.5000
Br 0.0000 0.0000 0.8136
Br 0.5000 0.5000 0.0000
Br 0.5000 0.5000 0.3136
Br 0.5000 0.5000 0.6864

No. 17
Material: Na2ScF
Method: DFT, PBE-GGA
State: relaxed

Calculated values
Symmetry: I-42d
VASP energy: -3.4369 eV/atom
ΔE to the lowest computed polymorph: 0 kJ/mol of formula units

Cell lengths 6.8529, 6.8529, 9.3477 Å; angles 90.00, 90.00, 90.00 degrees
Sites, in units of the cell vectors:
Na 0.0674 0.2500 0.1250
Na 0.2500 0.5674 0.3750
Na 0.2500 0.9326 0.8750
Na 0.4326 0.2500 0.6250
Na 0.5674 0.7500 0.6250
Na 0.7500 0.0674 0.8750
Na 0.7500 0.4326 0.3750
Na 0.9326 0.7500 0.1250
Sc 0.0000 0.0000 0.5000
Sc 0.0000 0.5000 0.7500
Sc 0.5000 0.0000 0.2500
Sc 0.5000 0.5000 0.0000
F 0.0000 0.0000 0.0000
F 0.0000 0.5000 0.2500
F 0.5000 0.0000 0.7500
F 0.5000 0.5000 0.5000

No. 18
Material: Na2CePrS4
Method: DFT, PBE-GGA
State: relaxed

Calculated values
Symmetry: P2/m
VASP energy: -5.4890 eV/atom

Cell lengths 7.0917, 4.1565, 7.1915 Å; angles 90.00, 109.75, 90.00 degrees
Sites, in units of the cell vectors:
Na 0.0000 0.0000 0.0000
Na 0.0000 0.5000 0.5000
Ce 0.5000 0.0000 0.5000
Pr 0.5000 0.5000 0.0000
S 0.2654 0.0000 0.7529
S 0.2670 0.5000 0.2581
S 0.7330 0.5000 0.7419
S 0.7346 0.0000 0.2471

No. 19
Material: Sm2Al3Ru
Method: DFT, PBE-GGA
State: relaxed

Calculated values
Symmetry: R-3m
VASP energy: -5.5063 eV/atom
Energy relative to the elements: -516 meV per atom

Cell lengths 5.4890, 5.4890, 5.4890 Å; angles 61.03, 61.03, 61.03 degrees
Sites, in units of the cell vectors:
Sm 0.1260 0.1260 0.1260
Sm 0.8740 0.8740 0.8740
Al 0.0000 0.5000 0.5000
Al 0.5000 0.0000 0.5000
Al 0.5000 0.5000 0.0000
Ru 0.5000 0.5000 0.5000

No. 20
Material: YPd4Pt
Method: DFT, PBE-GGA
State: relaxed

Calculated values
Symmetry: C2/m
VASP energy: -6.1258 eV/atom
ΔE to the lowest computed polymorph: 0 kJ/mol of formula units
Energy relative to the elements: -580 meV per atom

Cell lengths 4.9742, 8.7550, 4.9236 Å; angles 90.00, 108.37, 90.00 degrees
Sites, in units of the cell vectors:
Y 0.0000 0.0000 0.0000
Y 0.5000 0.5000 0.0000
Pd 0.0000 0.1759 0.5000
Pd 0.0000 0.3364 0.0000
Pd 0.0000 0.6636 0.0000
Pd 0.0000 0.8241 0.5000
Pd 0.5000 0.1636 0.0000
Pd 0.5000 0.3241 0.5000
Pd 0.5000 0.6759 0.5000
Pd 0.5000 0.8364 0.0000
Pt 0.0000 0.5000 0.5000
Pt 0.5000 0.0000 0.5000